Computed, not measured: K3Mn2I8 after structural relaxation at the GGA-PBE level of DFT.

## Properties
The uncorrected formation energy is -0.846 eV per atom. The calculation puts the spin magnetization at 9.00 μB/f.u.

POSCAR file:
```
K3Mn2I8
1.0
4.0886 2.3605 10.0975
-4.0886 2.3605 10.0975
0.0000 -4.7211 10.0975
K Mn I
3 2 8
direct
0.0000 0.0000 0.0000
0.2034 0.2034 0.2034
0.7966 0.7966 0.7966
0.4037 0.4037 0.4037
0.5963 0.5963 0.5963
0.2175 0.7382 0.7382
0.2618 0.2618 0.7825
0.2618 0.7825 0.2618
0.3172 0.3172 0.3172
0.6828 0.6828 0.6828
0.7382 0.2175 0.7382
0.7382 0.7382 0.2175
0.7825 0.2618 0.2618
```